NdTl2AgCl6 PBE-GGA relaxed; energy relative to the elements, uncorrected = -1413 meV per atom; space group = P2_1/c, No. 14
1.0
-2.9705 6.8183 0.2556
-6.6489 -2.7823 -3.0506
-3.6730 -1.8047 9.6516
Cl Ag Nd Tl
12 2 2 4
direct
0.3088 0.7072 0.4505
0.9006 0.5250 0.2533
0.6912 0.2928 0.5495
0.2998 0.6933 0.0482
0.1912 0.2072 0.0495
0.5994 0.0250 0.2467
0.4006 0.9750 0.7533
0.0994 0.4750 0.7467
0.7002 0.3067 0.9518
0.8088 0.7928 0.9505
0.2002 0.1933 0.4518
0.7998 0.8067 0.5482
0.5000 0.0000 0.0000
0.0000 0.5000 0.5000
0.0000 0.5000 0.0000
0.5000 0.0000 0.5000
0.0224 0.9293 0.2526
0.4776 0.4293 0.2474
0.5224 0.5707 0.7526
0.9776 0.0707 0.7474